No. 1
Entry from the Alexandria database: crystalline Tb6SmGa3 at its relaxed geometry (PBE).

Summary:
Energy of formation from the pure elements: -0.303 eV/atom
Space group: Cmc2_1, No. 36
Density of states at the Fermi level: 23.98 states/eV per cell
Spin magnetization: 0.00 μB per cell

POSCAR file:
```
Tb6SmGa3
1.0
8.2781 0.0000 0.0000
0.0000 8.3510 0.2715
0.0000 -1.5988 8.2010
Tb Sm Ga
12 2 6
Direct
0.1656 0.7340 0.6026
0.6656 0.6026 0.7340
0.3079 0.5848 0.9429
0.8079 0.9429 0.5848
0.1899 0.0347 0.9653
0.5201 0.2250 0.7750
0.0201 0.7750 0.2250
0.6899 0.9653 0.0347
0.3079 0.0571 0.4152
0.8079 0.4152 0.0571
0.1656 0.3974 0.2660
0.6656 0.2660 0.3974
0.0277 0.3337 0.6663
0.5277 0.6663 0.3337
0.4687 0.8823 0.7176
0.9687 0.7176 0.8823
0.3635 0.4303 0.5697
0.8635 0.5697 0.4303
0.9687 0.1177 0.2824
0.4687 0.2824 0.1177
```

***

No. 2
Entry from the Alexandria database: crystalline Li2CuPd at its relaxed geometry (PBE).

Summary:
Energy of formation from the pure elements: -0.270 eV/atom
Space group: P4/mmm, No. 123
Density of states at the Fermi level: 1.07 states/eV per cell
Spin magnetization: 0.00 μB per cell

POSCAR file:
```
Li2CuPd
1.0
-0.9481 -3.6731 -0.5191
1.3828 0.1351 -3.4813
3.3580 -1.0495 1.2931
Cu Pd Li
1 1 2
Direct
0.5000 0.0000 0.0000
0.5000 0.5000 0.5000
0.0000 0.0000 0.5000
0.0000 0.5000 0.0000
```